VASP calculation (GGA+U) on an optimized crystal structure of LiHo2CrO5.

Unit cell a=6.434 b=6.434 c=5.667 alpha=90.00 beta=90.00 gamma=90.00
Fractional positions:
Li 0.000 0.000 0.000
Li 0.500 0.500 0.000
Ho 0.178 0.322 0.500
Ho 0.322 0.822 0.500
Ho 0.678 0.178 0.500
Ho 0.822 0.678 0.500
Cr 0.000 0.500 0.000
Cr 0.500 0.000 0.000
O 0.000 0.000 0.500
O 0.140 0.640 0.246
O 0.140 0.640 0.754
O 0.360 0.140 0.246
O 0.360 0.140 0.754
O 0.500 0.500 0.500
O 0.640 0.860 0.246
O 0.640 0.860 0.754
O 0.860 0.360 0.246
O 0.860 0.360 0.754

Computed properties:
E   -7.36 eV/atom
Space group   P4/mbm (127)